# AgHgAs

A crystal of AgHgAs relaxed with PBEsol (meta-GGA SCAN, Alexandria).

Unit cell a=4.9386 b=4.9386 c=2.8659 alpha=90.00 beta=90.00 gamma=120.00
Closest atoms and distances in Å follow each position.
Fractional coordinates of all 3 atoms:
Ag (0.0000, 0.0000, 0.0000)  3 Hg 2.85, 3 As 2.85, 2 Ag 2.87
Hg (0.6667, 0.3333, 0.9984)  3 As 2.85, 3 Ag 2.85, 2 Hg 2.87
As (0.3333, 0.6667, 0.9973)  3 Hg 2.85, 3 Ag 2.85, 2 As 2.87

Summary:
Its symmetry is P3m1. Its total moment is 0.00 μB/f.u. The value obtained for the formation enthalpy at 0 K is 202 meV/atom. Its final energy is -39.706 eV per atom.